## one
# TbCe3Co

A geometry-optimized TbCe3Co structure (PBE, Alexandria).

Properties
magnetization	0.0	μB per cell
symmetry	P2_1/m

Lattice parameters (Å, degrees): 5.890 7.621 5.951 90.00 108.16 90.00
Atoms (fractional coordinates):
Tb  0.153  0.250  0.192
Tb  0.847  0.750  0.808
Ce  0.254  0.750  0.395
Ce  0.287  0.026  0.730
Ce  0.287  0.474  0.730
Ce  0.713  0.526  0.270
Ce  0.713  0.974  0.270
Ce  0.746  0.250  0.605
Co  0.403  0.750  0.954
Co  0.597  0.250  0.046



## two
# TbCe3Co

A geometry-optimized TbCe3Co structure (PBE, Alexandria).

Properties
magnetization	2.1	μB per cell
symmetry	Pm-3m

Lattice parameters (Å, degrees): 5.237 5.237 5.237 90.00 90.00 90.00
Atoms (fractional coordinates):
Tb  0.000  0.000  0.000
Ce  0.000  0.500  0.500
Ce  0.500  0.000  0.500
Ce  0.500  0.500  0.000
Co  0.500  0.500  0.500



Bottom line: one, by a margin of 0.128 eV/atom.



## one
# Ce3CoTc

A geometry-optimized Ce3CoTc structure (PBE, Alexandria).

Properties
magnetization	0.0	μB per cell
symmetry	P2_1/m

Lattice parameters (Å, degrees): 7.373 3.786 8.246 90.00 102.27 90.00
Atoms (fractional coordinates):
Ce  0.099  0.250  0.275
Ce  0.299  0.250  0.962
Ce  0.358  0.750  0.626
Ce  0.642  0.250  0.374
Ce  0.701  0.750  0.038
Ce  0.901  0.750  0.725
Co  0.077  0.250  0.611
Co  0.923  0.750  0.389
Tc  0.383  0.750  0.233
Tc  0.617  0.250  0.767



## two
# Ce3CoTc

A geometry-optimized Ce3CoTc structure (PBE, Alexandria).

Properties
magnetization	0.3	μB per cell
symmetry	P2_1/m

Lattice parameters (Å, degrees): 4.103 9.283 5.705 90.00 90.46 90.00
Atoms (fractional coordinates):
Ce  0.248  0.250  0.236
Ce  0.251  0.057  0.753
Ce  0.251  0.443  0.753
Ce  0.749  0.557  0.247
Ce  0.749  0.943  0.247
Ce  0.752  0.750  0.764
Co  0.251  0.750  0.007
Co  0.749  0.250  0.993
Tc  0.248  0.750  0.489
Tc  0.752  0.250  0.511



Bottom line: two, by a margin of 0.028 eV/atom.